An optimized crystal structure of AcPm6Th. Source: Alexandria, functional PBE.

Cell lengths 5.1984, 5.1984, 10.4213 Å; angles 90.00, 90.00, 90.00 degrees
Space group P4/mmm (No. 123)
One atom of each set of equivalent atoms:
1 Ac 0.0000 0.0000 0.0000 [1 per cell]
2 Pm 0.0000 0.5000 0.2602 [4 per cell]
3 Pm 0.5000 0.5000 0.0000 [1 per cell]
4 Pm 0.5000 0.5000 0.5000 [1 per cell]
5 Th 0.0000 0.0000 0.5000 [1 per cell]

## Properties
Calculated total energy (eV/atom): -4.9677
D(E_F) (states/eV/cell): 10.15
Density (g cm⁻³): 7.84
Spin magnetization (μB per cell): 0.000
ΔE_f (meV per atom): 36.3